Run P
A relaxed Ce2PuFe crystal, computed with PBE-GGA.

```
Ce2PuFe
1.0
4.905 0.000 0.000
2.453 4.248 0.000
2.453 1.416 4.005
Ce Fe Pu
2 1 1
Direct
0.250 0.250 0.250
0.750 0.750 0.750
0.500 0.500 0.500
0.000 0.000 0.000
```

Values from the calculation:
The total moment comes out at 8.0 μB per cell.

***

Run Q
A relaxed Ce2PuFe crystal, computed with PBE-GGA.

```
Ce2PuFe
1.0
3.319 0.000 0.000
0.000 3.319 0.000
0.000 0.000 8.063
Ce Fe Pu
2 1 1
Direct
0.000 0.000 0.789
0.000 0.000 0.211
0.500 0.500 0.000
0.500 0.500 0.500
```

Values from the calculation:
The total moment comes out at 5.8 μB per cell.

***

Run R
A relaxed Ce2PuFe crystal, computed with PBE-GGA.

```
Ce2PuFe
1.0
-0.638 3.011 -3.272
-3.884 0.075 -2.257
-3.314 4.136 1.368
Ce Pu Fe
2 1 1
Direct
0.241 0.241 0.277
0.008 0.008 0.975
0.490 0.490 0.529
0.760 0.760 0.719
```

Values from the calculation:
The total moment comes out at 5.1 μB per cell.

***

What should be chosen as the most stable of them? Choose run R.

***

Run P
A relaxed Ce2FeRu crystal, computed with PBE-GGA.

```
Ce2FeRu
1.0
3.384 0.000 0.000
0.000 3.384 0.000
0.000 0.000 6.913
Ce Ru Fe
2 1 1
Direct
0.000 0.000 0.258
0.000 0.000 0.742
0.500 0.500 0.000
0.500 0.500 0.500
```

Values from the calculation:
The total moment comes out at 0.0 μB per cell.

***

Run Q
A relaxed Ce2FeRu crystal, computed with PBE-GGA.

```
Ce2FeRu
1.0
3.065 0.000 0.000
1.532 2.654 0.000
1.532 0.885 9.410
Ce Fe Ru
2 1 1
Direct
0.088 0.088 0.735
0.912 0.912 0.265
0.500 0.500 0.500
0.000 0.000 0.000
```

Values from the calculation:
The total moment comes out at 1.3 μB per cell.

***

What should be chosen as the most stable of them? Choose run P.

***

Run P
A relaxed Ce2FeRu3 crystal, computed with PBE-GGA.

```
Ce2FeRu3
1.0
-1.857 -0.969 5.069
4.979 -1.761 -1.480
3.212 6.974 2.510
Fe Ru Ce
2 6 4
Direct
0.000 0.000 0.500
0.000 0.000 0.000
0.335 0.167 0.750
0.665 0.833 0.250
0.167 0.335 0.250
0.833 0.167 0.750
0.167 0.833 0.250
0.833 0.665 0.750
0.667 0.333 0.430
0.667 0.333 0.070
0.333 0.667 0.930
0.333 0.667 0.570
```

Values from the calculation:
The total moment comes out at 3.6 μB per cell.

***

Run Q
A relaxed Ce2FeRu3 crystal, computed with PBE-GGA.

```
Ce2FeRu3
1.0
5.080 -0.043 -0.032
2.076 4.636 -0.032
2.076 1.332 4.441
Ce Ru Fe
2 3 1
Direct
0.629 0.629 0.629
0.371 0.371 0.371
0.000 0.000 0.500
0.000 0.500 0.000
0.500 0.000 0.000
0.000 0.000 0.000
```

Values from the calculation:
The total moment comes out at 2.1 μB per cell.

***

What should be chosen as the most stable of them? Choose run Q.

***

Run P
A relaxed Ce2FeSi3 crystal, computed with PBE-GGA.

```
Ce2FeSi3
1.0
-3.274 1.483 1.833
-0.165 -1.038 -3.895
-2.231 -7.517 2.098
Si Ce Fe
3 2 1
Direct
0.333 0.667 0.500
0.000 0.000 0.500
0.333 0.667 0.000
0.667 0.333 0.238
0.667 0.333 0.762
0.000 0.000 0.000
```

Values from the calculation:
The total moment comes out at 0.0 μB per cell.

***

Run Q
A relaxed Ce2FeSi3 crystal, computed with PBE-GGA.

```
Ce2FeSi3
1.0
-1.685 -5.431 0.787
3.921 -1.752 -3.809
3.537 2.888 6.626
Si Ce Fe
6 4 2
Direct
0.830 0.830 0.659
0.337 0.833 0.170
0.170 0.170 0.341
0.663 0.167 0.830
0.833 0.337 0.170
0.167 0.663 0.830
0.259 0.259 0.000
0.750 0.250 0.500
0.741 0.741 0.000
0.250 0.750 0.500
0.335 0.335 0.671
0.665 0.665 0.329
```

Values from the calculation:
The total moment comes out at 0.1 μB per cell.

***

What should be chosen as the most stable of them? Choose run Q.

***

Run P
A relaxed Ce2SmFe crystal, computed with PBE-GGA.

```
Ce2SmFe
1.0
3.418 0.000 0.000
0.000 3.418 0.000
0.000 0.000 8.646
Ce Sm Fe
2 1 1
Direct
0.000 0.000 0.186
0.000 0.000 0.814
0.500 0.500 0.500
0.500 0.500 0.000
```

Values from the calculation:
The total moment comes out at 0.1 μB per cell.

***

Run Q
A relaxed Ce2SmFe crystal, computed with PBE-GGA.

```
Ce2SmFe
1.0
-0.439 3.563 0.924
-3.124 1.778 -0.906
-4.837 -0.679 7.757
Ce Fe Sm
2 1 1
Direct
0.724 0.724 0.829
0.276 0.276 0.171
0.000 0.000 0.000
0.500 0.500 0.500
```

Values from the calculation:
The total moment comes out at 0.0 μB per cell.

***

What should be chosen as the most stable of them? Choose run Q.

***

Run P
A relaxed Ce8FeSn2 crystal, computed with PBE-GGA.

```
Ce8FeSn2
1.0
4.967 0.000 -1.113
-0.183 4.319 -0.819
0.231 1.052 12.673
Ce Fe Sn
8 1 2
Direct
0.657 0.244 0.314
0.950 0.817 0.901
0.566 0.613 0.133
0.741 0.719 0.483
0.259 0.281 0.517
0.434 0.387 0.867
0.343 0.756 0.686
0.050 0.183 0.099
0.500 0.000 0.000
0.846 0.266 0.692
0.154 0.734 0.308
```

Values from the calculation:
The total moment comes out at 3.7 μB per cell.

***

Run Q
A relaxed Ce8FeSn2 crystal, computed with PBE-GGA.

```
Ce8FeSn2
1.0
5.396 0.000 0.000
0.000 6.500 -0.193
-2.698 -2.922 8.350
Ce Fe Sn
8 1 2
Direct
0.782 0.780 0.564
0.646 0.922 0.292
0.354 0.078 0.708
0.418 0.621 0.836
0.582 0.379 0.164
0.218 0.220 0.436
0.002 0.214 0.005
0.998 0.786 0.995
0.500 0.000 0.000
0.170 0.667 0.340
0.830 0.333 0.660
```

Values from the calculation:
The total moment comes out at 5.3 μB per cell.

***

What should be chosen as the most stable of them? Choose run P.

***

Run P
A relaxed TbCeFe crystal, computed with PBE-GGA.

```
TbCeFe
1.0
3.692 0.000 0.000
0.000 6.067 0.000
0.000 0.000 12.899
Ce Fe Tb
4 4 4
Direct
0.250 0.877 0.853
0.750 0.623 0.353
0.750 0.123 0.147
0.250 0.377 0.647
0.250 0.643 0.464
0.750 0.357 0.536
0.750 0.857 0.964
0.250 0.143 0.036
0.750 0.369 0.900
0.250 0.131 0.400
0.250 0.631 0.100
0.750 0.869 0.600
```

Values from the calculation:
The total moment comes out at 0.0 μB per cell.

***

Run Q
A relaxed TbCeFe crystal, computed with PBE-GGA.

```
TbCeFe
1.0
4.990 0.000 0.000
0.000 4.040 0.000
0.000 -2.020 3.499
Fe Tb Ce
1 1 1
Direct
0.168 0.000 0.000
0.666 0.667 0.333
0.166 0.333 0.667
```

Values from the calculation:
The total moment comes out at 0.0 μB per cell.

***

Run R
A relaxed TbCeFe crystal, computed with PBE-GGA.

```
TbCeFe
1.0
-1.745 -3.843 3.086
-1.036 -4.710 -2.021
4.959 -4.623 1.473
Fe Tb Ce
2 2 2
Direct
0.738 0.738 0.787
0.262 0.262 0.213
0.882 0.882 0.354
0.118 0.118 0.646
0.374 0.374 0.878
0.626 0.626 0.122
```

Values from the calculation:
The total moment comes out at 0.0 μB per cell.

***

What should be chosen as the most stable of them? Choose run P.

***

Run P
A relaxed CeTi2Fe crystal, computed with PBE-GGA.

```
CeTi2Fe
1.0
3.006 0.000 0.000
0.000 3.006 0.000
0.000 0.000 7.678
Ti Ce Fe
2 1 1
Direct
0.000 0.000 0.185
0.000 0.000 0.815
0.500 0.500 0.500
0.500 0.500 0.000
```

Values from the calculation:
The total moment comes out at 0.3 μB per cell.

***

Run Q
A relaxed CeTi2Fe crystal, computed with PBE-GGA.

```
CeTi2Fe
1.0
-1.822 -2.000 -1.096
-1.452 -1.789 1.791
-8.087 4.863 0.682
Fe Ti Ce
1 2 1
Direct
0.500 0.500 0.500
0.101 0.101 0.696
0.899 0.899 0.304
0.000 0.000 0.000
```

Values from the calculation:
The total moment comes out at 0.5 μB per cell.

***

What should be chosen as the most stable of them? Choose run P.